# MgSiSe2 (PBE, relaxed)
data_MgSiSe2
_symmetry_space_group_name_H-M 'P 1'
_symmetry_Int_Tables_number 1
_cell_length_a 7.4307
_cell_length_b 7.3091
_cell_length_c 4.0683
_cell_angle_alpha 90.00
_cell_angle_beta 117.09
_cell_angle_gamma 90.00
loop_
_symmetry_equiv_pos_as_xyz
'x,y,z'
loop_
_atom_site_label
_atom_site_fract_x
_atom_site_fract_y
_atom_site_fract_z
Mg1 0.0000 0.0000 0.0000
Mg2 0.5000 0.5000 0.0000
Si1 0.0000 0.5000 0.0000
Si2 0.5000 0.0000 0.0000
Se1 0.2500 0.2500 0.0000
Se2 0.2500 0.7500 0.0000
Se3 0.7500 0.2500 0.0000
Se4 0.7500 0.7500 0.0000
# **ρ**: 3.551 Mg/m³
# **Space-group type**: C2/m
# **Formation energy from raw total energies**: -0.248 eV per atom
# **Spin magnetization**: 0.00 Bohr magnetons per cell